The following is a DFT calculation (GGA+U) of an optimized crystal structure of Na3Ni4F12.

Cell and atoms, written as POSCAR:
```
Na3Ni4F12
1.0
-3.879 3.879 3.879
3.879 -3.879 3.879
3.879 3.879 -3.879
Na Ni F
3 4 12
Direct
0.000 0.500 0.500
0.500 0.000 0.500
0.500 0.500 0.000
0.000 0.000 0.500
0.000 0.500 0.000
0.500 0.000 0.000
0.500 0.500 0.500
0.080 0.295 0.785
0.215 0.509 0.295
0.215 0.920 0.705
0.295 0.215 0.509
0.295 0.785 0.080
0.491 0.705 0.785
0.509 0.295 0.215
0.705 0.215 0.920
0.705 0.785 0.491
0.785 0.080 0.295
0.785 0.491 0.705
0.920 0.705 0.215
```

Calculated values
VASP energy (eV/atom): -4.201
Mass density (g/cm³): 3.782
SG: Im-3 (204)